A plane-wave DFT calculation with PBE-GGA was carried out for an optimized crystal structure of CePmDy2As4.

Output
- DOS at the Fermi energy: 6.33 states/eV/cell
- Final energy: -6.32 eV per atom
- Symmetry: P2/m (10)

Cell: 7.217 4.174 7.229 Å, 90.00 109.43 90.00°
Positions (direct):
Ce  0.000  0.000  0.000
Pm  0.000  0.500  0.500
Dy  0.500  0.000  0.500
Dy  0.500  0.500  0.000
As  0.255  0.500  0.250
As  0.256  0.000  0.754
As  0.744  0.000  0.246
As  0.745  0.500  0.750